Entry 1:
9
Lattice="-3.2823 3.2823 3.9706 3.2823 -3.2823 3.9706 3.2823 3.2823 -3.9706" Properties=species:S:1:pos:R:3 comment="Li2CdBi2Pd4, optimized geometry, DFT PBE" dft_energy_ev_per_atom=-3.927 dos_ef_per_ev_fu=2.9 formation_energy_ev_per_atom=-0.229 pbc="T T T"
Li 0.0000 0.0000 1.5002
Li 0.0000 0.0000 6.4409
Cd 0.0000 0.0000 3.9706
Bi 3.2823 0.0000 1.9853
Bi 0.0000 3.2823 1.9853
Pd 1.4321 1.4321 0.0000
Pd 1.8502 -1.8502 3.9706
Pd -1.8502 1.8502 3.9706
Pd 1.8502 1.8502 3.9706


Entry 2:
4
Lattice="2.1408 1.2360 6.6448 -2.1408 1.2360 6.6448 0.0000 -2.4720 6.6448" Properties=species:S:1:pos:R:3 comment="TiHgSb2, optimized geometry, DFT PBE" dft_energy_ev_per_atom=-4.080 dos_ef_per_ev_fu=4.0 pbc="T T T"
Ti 0.0000 0.0000 0.0000
Hg 0.0000 0.0000 16.7186
Sb 0.0000 0.0000 8.1116
Sb 0.0000 0.0000 12.0428


Entry 3:
4
Lattice="0.0000 3.0624 3.0624 3.0624 0.0000 3.0624 3.0624 3.0624 0.0000" Properties=species:S:1:pos:R:3 comment="MnAlGaPd, optimized geometry, DFT PBE" dft_energy_ev_per_atom=-5.634 dos_ef_per_ev_fu=3.4 formation_energy_ev_per_atom=-0.351 pbc="T T T"
Mn 0.0000 0.0000 0.0000
Al 4.5936 4.5936 4.5936
Ga 1.5312 1.5312 1.5312
Pd 3.0624 3.0624 3.0624


Entry 4:
10
Lattice="4.0699 0.0000 0.0000 0.0000 4.0699 0.0000 0.0000 0.0000 9.8986" Properties=species:S:1:pos:R:3 comment="U2Si4NiIr3, optimized geometry, DFT PBE" dft_energy_ev_per_atom=-8.375 dos_ef_per_ev_fu=17.0 pbc="T T T"
U 0.0000 2.0350 2.4681
U 2.0350 0.0000 7.4304
Si 0.0000 0.0000 4.9493
Si 0.0000 2.0350 8.6240
Si 2.0350 0.0000 1.2745
Si 2.0350 2.0350 4.9493
Ni 2.0350 2.0350 0.0000
Ir 0.0000 0.0000 0.0000
Ir 0.0000 2.0350 6.2484
Ir 2.0350 0.0000 3.6502


Entry 5:
5
Lattice="5.3920 0.0000 0.0000 0.0000 5.3920 0.0000 0.0000 0.0000 5.3457" Properties=species:S:1:pos:R:3 comment="YP2PbCl, optimized geometry, DFT PBE" dft_energy_ev_per_atom=-4.345 relative_energy_ev_per_atom=0.0999 dos_ef_per_ev_fu=1.1 pbc="T T T"
Y 0.0000 0.0000 0.0000
P 0.0000 2.6960 2.6728
P 2.6960 0.0000 2.6728
Pb 2.6960 2.6960 2.6728
Cl 2.6960 2.6960 0.0000


Entry 6:
20
Lattice="8.8030 0.0000 0.0000 0.0000 8.8030 0.0000 0.0000 0.0000 3.7196" Properties=species:S:1:pos:R:3 comment="Tm2ZnFe2Ni5, optimized geometry, DFT PBE" dft_energy_ev_per_atom=-5.773 dos_ef_per_ev_fu=8.9 formation_energy_ev_per_atom=-0.169 pbc="T T T"
Tm 1.5985 2.8030 0.0000
Tm 2.8030 7.2045 0.0000
Tm 6.0000 1.5985 0.0000
Tm 7.2045 6.0000 0.0000
Zn 0.0000 0.0000 0.0000
Zn 4.4015 4.4015 0.0000
Fe 1.0128 5.4143 0.0000
Fe 3.3887 1.0128 0.0000
Fe 5.4143 7.7902 0.0000
Fe 7.7902 3.3887 0.0000
Ni 0.0000 4.4015 1.8598
Ni 0.5500 6.9514 1.8598
Ni 1.8516 0.5500 1.8598
Ni 2.5499 4.9515 1.8598
Ni 3.8516 2.5499 1.8598
Ni 4.4015 0.0000 1.8598
Ni 4.9515 6.2531 1.8598
Ni 6.2531 3.8516 1.8598
Ni 6.9514 8.2531 1.8598
Ni 8.2531 1.8516 1.8598